A relaxed ScTiGa2 crystal, computed with GGA-PBE.

Lattice parameters (Å, degrees): 5.896 5.896 5.896 103.85 103.85 121.41
Sites, in units of the cell vectors:
Sc 0.000 0.000 0.000
Sc 0.750 0.250 0.500
Ti 0.250 0.750 0.500
Ti 0.500 0.500 0.000
Ga 0.138 0.625 0.013
Ga 0.375 0.388 0.513
Ga 0.612 0.125 0.987
Ga 0.875 0.862 0.487

Values from the calculation:
Total moment   0.199 μB/atom
Formation energy from the elements   -0.136 eV per atom
Distance to the lowest polymorph of the same formula   0.361 eV per atom
SG   No. 122
Calculated total energy   -5.2059 eV per atom
Density of states at the Fermi level   0.78 states/eV per atom

=====

A relaxed Sc3TiGa crystal, computed with GGA-PBE.

Lattice parameters (Å, degrees): 4.946 4.946 4.946 90.00 90.00 90.00
Sites, in units of the cell vectors:
Sc 0.000 0.000 0.500
Sc 0.000 0.500 0.000
Sc 0.500 0.000 0.000
Ti 0.000 0.000 0.000
Ga 0.500 0.500 0.500

Values from the calculation:
Total moment   0.000 μB/atom
Formation energy from the elements   0.586 eV per atom
Distance to the lowest polymorph of the same formula   0.158 eV per atom
SG   No. 221
Calculated total energy   -5.3973 eV per atom
Density of states at the Fermi level   1.38 states/eV per atom

=====

A relaxed ScTi2Ga crystal, computed with GGA-PBE.

Lattice parameters (Å, degrees): 5.950 5.950 5.950 102.17 102.17 125.35
Sites, in units of the cell vectors:
Sc 0.000 0.000 0.000
Sc 0.750 0.250 0.500
Ti 0.151 0.625 0.026
Ti 0.375 0.401 0.526
Ti 0.599 0.125 0.974
Ti 0.875 0.849 0.474
Ga 0.250 0.750 0.500
Ga 0.500 0.500 0.000

Values from the calculation:
Total moment   0.046 μB/atom
Formation energy from the elements   0.161 eV per atom
SG   No. 122
Calculated total energy   -6.1257 eV per atom
Density of states at the Fermi level   1.50 states/eV per atom

=====

Question: Which of these has the highest calculated total energy?
Answer: ScTiGa2